Compound: Ce2FeCo
Source: Alexandria via LeMat-Bulk
Functional: PBE-GGA
Structure: optimized geometry

Properties
D(E_F)	5.1	states/eV per cell
calculated formation energy	0.011	eV per atom
total DFT energy (no corrections)	-27.4	eV per cell
energy relative to the lowest polymorph listed for this composition	0.0	kJ per mole of atoms

Cell lengths 3.3722, 3.3722, 6.6685 Å; angles 90.00, 90.00, 90.00 degrees
With the nearest neighbours (Å) after each atom.
Element x y z (fractional)
1 Co 0.5000 0.5000 0.0000  8 Ce 2.90
2 Fe 0.5000 0.5000 0.5000  8 Ce 2.92
3 Ce 0.0000 0.0000 0.7528  4 Co 2.90, 4 Fe 2.92
4 Ce 0.0000 0.0000 0.2472  4 Co 2.90, 4 Fe 2.92